The following is a meta-GGA SCAN calculation of a PBEsol-optimized structure of SrMn, from Alexandria via LeMat-Bulk.

Cell lengths 5.3198, 5.3198, 7.4894 Å; angles 90.00, 90.00, 90.00 degrees
Closest atoms and distances in Å follow each position.
Positions (direct):
1 Sr 0.0000 0.2500 0.3750  4 Mn 3.25, 4 Sr 3.25
2 Sr 0.0000 0.7500 0.6250  4 Mn 3.25, 4 Sr 3.25
3 Sr 0.5000 0.2500 0.1250  4 Sr 3.25, 4 Mn 3.25
4 Sr 0.5000 0.7500 0.8750  4 Mn 3.25, 4 Sr 3.25
5 Mn 0.0000 0.2500 0.8750  4 Sr 3.25, 4 Mn 3.25
6 Mn 0.0000 0.7500 0.1250  4 Mn 3.25, 4 Sr 3.25
7 Mn 0.5000 0.2500 0.6250  4 Mn 3.25, 4 Sr 3.25
8 Mn 0.5000 0.7500 0.3750  4 Mn 3.25, 4 Sr 3.25

The following is a meta-GGA SCAN calculation of a PBEsol-optimized structure of SrMo2P, from Alexandria via LeMat-Bulk.

Cell lengths 3.9415, 3.9415, 4.5867 Å; angles 90.00, 90.00, 90.00 degrees
Closest atoms and distances in Å follow each position.
Positions (direct):
1 Sr 0.0000 0.0000 0.0000  4 P 2.79, 8 Mo 3.02
2 Mo 0.0000 0.5000 0.5000  4 Mo 2.79, 4 Sr 3.02, 4 P 3.02
3 Mo 0.5000 0.0000 0.5000  4 Mo 2.79, 4 Sr 3.02, 4 P 3.02
4 P 0.5000 0.5000 0.0000  4 Sr 2.79, 8 Mo 3.02

The following is a meta-GGA SCAN calculation of a PBEsol-optimized structure of Ba2InP, from Alexandria via LeMat-Bulk.

Cell lengths 5.1786, 5.1786, 9.4114 Å; angles 90.00, 90.00, 90.00 degrees
Closest atoms and distances in Å follow each position.
Positions (direct):
1 Ba 0.0000 0.5000 0.2500  4 In 3.50, 4 P 3.50, 4 Ba 3.66
2 Ba 0.0000 0.5000 0.7500  4 In 3.50, 4 P 3.50, 4 Ba 3.66
3 Ba 0.5000 0.0000 0.2500  4 In 3.50, 4 P 3.50, 4 Ba 3.66
4 Ba 0.5000 0.0000 0.7500  4 In 3.50, 4 P 3.50, 4 Ba 3.66
5 In 0.0000 0.0000 0.0000  8 Ba 3.50, 4 P 3.66
6 In 0.5000 0.5000 0.5000  8 Ba 3.50, 4 P 3.66
7 P 0.0000 0.0000 0.5000  8 Ba 3.50, 4 In 3.66
8 P 0.5000 0.5000 0.0000  8 Ba 3.50, 4 In 3.66

## Properties
Offset from the most stable computed form in meV per atom: 117

Number 1: calculated formation energy 0.38 eV per atom, electronic total energy -159.1 eV/cell. Number 2: calculated formation energy 0.82 eV per atom, electronic total energy -99.2 eV/cell. Number 3: calculated formation energy -0.57 eV per atom, electronic total energy -250.3 eV/cell.